Density functional theory data (PBE) for a relaxed CaTlCd2Br crystal.

## Properties
volume	195.4	Å³/f.u.
SG	P4/mmm, No. 123
DFT total energy	-1.43	eV per atom

abc: 5.714 5.985 5.714
angles: 90.00 90.00 90.00
Atoms (fractional coordinates):
Br (0.000, 0.000, 0.000)
Tl (0.000, 0.500, 0.000)
Ca (0.500, 0.500, 0.500)
Cd (0.500, 0.000, 0.000)
Cd (0.000, 0.000, 0.500)

Density functional theory data (PBE) for a relaxed CaCeBr5 crystal.

## Properties
volume	295.3	Å³/f.u.
SG	C2/c, No. 15
excess energy over the best structure of this formula in the dataset	0	meV/atom
DFT total energy	-4.16	eV per atom

abc: 7.623 7.623 11.430
angles: 104.36 108.50 98.76
Atoms (fractional coordinates):
Br (0.737, 0.170, 0.851)
Ca (0.332, 0.082, 0.750)
Br (0.319, 0.386, 0.649)
Br (0.681, 0.614, 0.351)
Br (0.736, 0.182, 0.496)
Ca (0.668, 0.918, 0.250)
Br (0.314, 0.260, 0.996)
Ce (0.000, 0.000, 0.000)
Ce (0.000, 0.500, 0.500)
Br (0.263, 0.830, 0.149)
Br (0.264, 0.818, 0.504)
Br (0.028, 0.778, 0.750)
Br (0.686, 0.740, 0.004)
Br (0.972, 0.222, 0.250)

Density functional theory data (PBE) for a relaxed Ca2CeBr6 crystal.

## Properties
volume	339.8	Å³/f.u.
SG	C2/m, No. 12
excess energy over the best structure of this formula in the dataset	0	meV/atom
DFT total energy	-4.09	eV per atom

abc: 4.147 8.130 10.890
angles: 106.28 90.00 104.78
Atoms (fractional coordinates):
Br (0.350, 0.700, 0.440)
Ca (0.669, 0.338, 0.835)
Ca (0.331, 0.662, 0.165)
Br (0.304, 0.608, 0.886)
Br (0.650, 0.300, 0.560)
Br (0.033, 0.066, 0.790)
Br (0.967, 0.934, 0.210)
Ce (0.000, 0.000, 0.500)
Br (0.696, 0.392, 0.114)

Density functional theory data (PBE) for a relaxed Ca2CeBr6 crystal.

## Properties
volume	358.9	Å³/f.u.
SG	C2/m, No. 12
excess energy over the best structure of this formula in the dataset	109	meV/atom
DFT total energy	-3.98	eV per atom

abc: 4.404 7.718 11.048
angles: 94.14 90.00 106.58
Atoms (fractional coordinates):
Br (0.634, 0.269, 0.600)
Br (0.846, 0.692, 0.073)
Br (0.154, 0.308, 0.927)
Br (0.089, 0.177, 0.265)
Ce (0.000, 0.000, 0.500)
Br (0.911, 0.823, 0.735)
Ca (0.743, 0.487, 0.826)
Br (0.366, 0.731, 0.400)
Ca (0.257, 0.513, 0.174)

| no. | total magnetization (Bohr magnetons per cell) |
| --- | --- |
| 1 | 0.00 |
| 2 | 2.00 |
| 3 | 2.01 |
| 4 | 2.03 |